1.
Lu2TcAg | GGA-PBEsol | relaxed

a b c (Å): 4.7799 4.7799 4.7799
angles (deg): 60.00 60.00 60.00
Element x y z (fractional)
Lu 0.2500 0.2500 0.2500
Lu 0.7500 0.7500 0.7500
Tc 0.0000 0.0000 0.0000
Ag 0.5000 0.5000 0.5000

The calculation puts the density of states at the Fermi level at 0.59 states/eV per atom. The calculation puts the volume at 77.2 Å³/cell. The value obtained for the uncorrected energy is -6.2765 eV per atom. As for the space group: Fm-3m, No. 225.

---

2.
NdRe4Si2 | GGA-PBEsol | relaxed

a b c (Å): 7.2924 15.3409 4.1292
angles (deg): 90.00 90.00 90.00
Element x y z (fractional)
Nd 0.0783 0.1185 0.0000
Nd 0.4217 0.6185 0.5000
Nd 0.5783 0.3815 0.5000
Nd 0.9217 0.8815 0.0000
Re 0.0117 0.7058 0.5000
Re 0.0685 0.5817 0.0000
Re 0.1389 0.4483 0.5000
Re 0.2305 0.3212 0.0000
Re 0.2695 0.8212 0.5000
Re 0.3611 0.9483 0.0000
Re 0.4315 0.0817 0.5000
Re 0.4883 0.2058 0.0000
Re 0.5117 0.7942 0.0000
Re 0.5685 0.9183 0.5000
Re 0.6389 0.0517 0.0000
Re 0.7305 0.1788 0.5000
Re 0.7695 0.6788 0.0000
Re 0.8611 0.5517 0.5000
Re 0.9315 0.4183 0.0000
Re 0.9883 0.2942 0.5000
Si 0.1706 0.9761 0.5000
Si 0.2093 0.7271 0.0000
Si 0.2907 0.2271 0.5000
Si 0.3294 0.4761 0.0000
Si 0.6706 0.5239 0.0000
Si 0.7093 0.7729 0.5000
Si 0.7907 0.2729 0.0000
Si 0.8294 0.0239 0.5000

The calculation puts the density of states at the Fermi level at 0.50 states/eV per atom. The calculation puts the volume at 461.9 Å³/cell. The value obtained for the uncorrected energy is -10.4679 eV per atom. As for the space group: Pnnm, No. 58. As for the formation energy (no corrections): -0.47 eV/atom.

---

3.
Li3MnVP3O12 | GGA-PBEsol | relaxed

a b c (Å): 10.0774 10.0774 10.0774
angles (deg): 109.47 109.47 109.47
Element x y z (fractional)
Li 0.1224 0.2500 0.3724
Li 0.1276 0.3776 0.7500
Li 0.2500 0.3724 0.1224
Li 0.2500 0.8724 0.6224
Li 0.3724 0.1224 0.2500
Li 0.3776 0.7500 0.1276
Li 0.6224 0.2500 0.8724
Li 0.6276 0.8776 0.7500
Li 0.7500 0.1276 0.3776
Li 0.7500 0.6276 0.8776
Li 0.8724 0.6224 0.2500
Li 0.8776 0.7500 0.6276
Mn 0.0000 0.0000 0.0000
Mn 0.0000 0.5000 0.5000
Mn 0.5000 0.0000 0.5000
Mn 0.5000 0.5000 0.0000
V 0.0000 0.0000 0.5000
V 0.0000 0.5000 0.0000
V 0.5000 0.0000 0.0000
V 0.5000 0.5000 0.5000
P 0.1236 0.8736 0.2500
P 0.1264 0.7500 0.8764
P 0.2500 0.1236 0.8736
P 0.2500 0.6236 0.3736
P 0.3736 0.2500 0.6236
P 0.3764 0.6264 0.7500
P 0.6236 0.3736 0.2500
P 0.6264 0.7500 0.3764
P 0.7500 0.3764 0.6264
P 0.7500 0.8764 0.1264
P 0.8736 0.2500 0.1236
P 0.8764 0.1264 0.7500
O 0.0067 0.2106 0.1139
O 0.0084 0.3043 0.8899
O 0.0857 0.8815 0.3899
O 0.0966 0.7106 0.7039
O 0.1072 0.6139 0.4034
O 0.1101 0.9916 0.6957
O 0.1139 0.0067 0.2106
O 0.1185 0.6101 0.9143
O 0.1957 0.2042 0.5857
O 0.2039 0.4933 0.6072
O 0.2042 0.5857 0.1957
O 0.2106 0.1139 0.0067
O 0.2894 0.2961 0.9034
O 0.2958 0.4916 0.3815
O 0.2961 0.9034 0.2894
O 0.3043 0.8899 0.0084
O 0.3815 0.2958 0.4916
O 0.3861 0.5966 0.8928
O 0.3899 0.0857 0.8815
O 0.3928 0.7961 0.5067
O 0.4034 0.1072 0.6139
O 0.4143 0.8043 0.7958
O 0.4916 0.3815 0.2958
O 0.4933 0.6072 0.2039
O 0.5067 0.3928 0.7961
O 0.5084 0.6185 0.7042
O 0.5857 0.1957 0.2042
O 0.5966 0.8928 0.3861
O 0.6072 0.2039 0.4933
O 0.6101 0.9143 0.1185
O 0.6139 0.4034 0.1072
O 0.6185 0.7042 0.5084
O 0.6957 0.1101 0.9916
O 0.7039 0.0966 0.7106
O 0.7042 0.5084 0.6185
O 0.7106 0.7039 0.0966
O 0.7894 0.8861 0.9933
O 0.7958 0.4143 0.8043
O 0.7961 0.5067 0.3928
O 0.8043 0.7958 0.4143
O 0.8815 0.3899 0.0857
O 0.8861 0.9933 0.7894
O 0.8899 0.0084 0.3043
O 0.8928 0.3861 0.5966
O 0.9034 0.2894 0.2961
O 0.9143 0.1185 0.6101
O 0.9916 0.6957 0.1101
O 0.9933 0.7894 0.8861

The calculation puts the density of states at the Fermi level at 0.46 states/eV per atom. The calculation puts the volume at 787.8 Å³/cell. The value obtained for the uncorrected energy is -7.4853 eV per atom. As for the space group: Ia-3, No. 206. As for the formation energy (no corrections): -2.20 eV/atom. The calculation puts the polymorph energy (0 for the lowest one) at 29.8 meV per atom.

---

4.
LiCaAl2 | GGA-PBEsol | relaxed

a b c (Å): 5.5063 5.5063 3.0535
angles (deg): 90.00 90.00 114.64
Element x y z (fractional)
Li 0.0000 0.0000 0.0000
Ca 0.5000 0.5000 0.0000
Al 0.0000 0.5000 0.5000
Al 0.5000 0.0000 0.5000

The calculation puts the density of states at the Fermi level at 0.50 states/eV per atom. The calculation puts the volume at 84.1 Å³/cell. The value obtained for the uncorrected energy is -3.1046 eV per atom. As for the space group: Cmmm, No. 65. The calculation puts the polymorph energy (0 for the lowest one) at 117.8 meV per atom.